A plane-wave DFT calculation with PBE+U was carried out for crystalline Sr3Fe2TcO9 at its relaxed geometry.

Properties
Calculated volume in A^3/atom: 12.62
E_tot in eV per atom: -6.8375
Total magnetization in μB per formula unit: 9.0
Space-group type: No. 164

Cell: 5.6254 5.6254 6.9070 Å, 90.00 90.00 120.00°
Positions (direct):
Sr 0.6667 0.3333 0.3126
Fe 0.3333 0.6667 0.1588
O 0.5000 0.5000 0.0000
O 0.6749 0.8374 0.3399
O 0.8374 0.1626 0.6601
Fe 0.6667 0.3333 0.8412
O 0.8374 0.6749 0.6601
O 0.1626 0.3251 0.3399
O 0.5000 0.0000 0.0000
Sr 0.3333 0.6667 0.6874
O 0.3251 0.1626 0.6601
Sr 0.0000 0.0000 0.0000
O 0.1626 0.8374 0.3399
O 0.0000 0.5000 0.0000
Tc 0.0000 0.0000 0.5000